No. 1
The following is a DFT calculation (GGA-PBE) of crystalline Tm4OsCl5 at its relaxed geometry.

Computed properties:
As for the crystal system: monoclinic. As for the space group: C2/m. The total moment is 0.4 μB per formula unit. The calculation puts the formation energy without anion corrections at -1.530 eV per atom.

a b c (Å): 3.788 8.407 9.487
angles (deg): 98.17 101.51 90.00
Last column: magnetic moment on the atom in μB.
Fractional coordinates of all 10 atoms:
Cl 0.162 0.291 0.324  0.01
Cl 0.190 0.859 0.381  0.00
Tm 0.646 0.055 0.291  0.06
Cl 0.810 0.141 0.619  0.00
Tm 0.354 0.945 0.709  0.06
Tm 0.991 0.770 0.983  0.07
Cl 0.500 0.500 0.000  0.00
Tm 0.009 0.230 0.017  0.07
Cl 0.838 0.709 0.676  0.01
Os 0.500 0.000 0.000  0.02

---

No. 2
The following is a DFT calculation (GGA-PBE) of crystalline K3SF at its relaxed geometry.

Computed properties:
As for the crystal system: monoclinic. As for the space group: C2/m. The total moment is 0.0 μB per formula unit. As for the energy relative to the lowest polymorph listed for this composition: 131 meV/atom. The calculation puts the formation energy without anion corrections at -1.533 eV per atom.

a b c (Å): 6.827 7.964 6.824
angles (deg): 115.26 120.02 90.00
Fractional coordinates of all 10 atoms:
K 0.907 0.742 0.814
F 0.838 0.013 0.675
K 0.093 0.258 0.186
S 0.623 0.366 0.245
K 0.429 0.742 0.336
K 0.093 0.258 0.664
K 0.571 0.258 0.664
S 0.377 0.634 0.755
F 0.162 0.987 0.325
K 0.907 0.742 0.336

---

No. 3
The following is a DFT calculation (GGA-PBE) of crystalline HfThSn2 at its relaxed geometry.

Computed properties:
As for the crystal system: tetragonal. As for the space group: P4/mmm. As for the formation energy: -0.305 eV per atom. The total moment is 0.0 μB per formula unit. As for the energy relative to the lowest polymorph listed for this composition: 36 meV/atom.

a b c (Å): 4.481 4.787 4.787
angles (deg): 90.00 90.00 90.00
Fractional coordinates of all 4 atoms:
Th 0.500 0.000 0.000
Sn 0.000 0.000 0.500
Sn 0.000 0.500 0.000
Hf 0.500 0.500 0.500

---

No. 4
The following is a DFT calculation (GGA-PBE) of crystalline PtBrCl2 at its relaxed geometry.

Computed properties:
As for the crystal system: orthorhombic. As for the space group: Pmmm. The total moment is 0.0 μB per formula unit. As for the energy relative to the lowest polymorph listed for this composition: 828 meV/atom. The calculation puts the formation energy without anion corrections at 0.547 eV per atom.

a b c (Å): 3.187 8.072 4.105
angles (deg): 90.00 90.00 90.00
Fractional coordinates of all 4 atoms:
Cl 0.000 0.000 0.000
Br 0.000 0.500 0.500
Pt 0.500 0.000 0.500
Cl 0.500 0.500 0.000

---

Question: Which formula does entry 1 have?
Answer: Tm4OsCl5

---

Question: What is the total moment in the fourth record?
Answer: 0.0 μB per formula unit